(1)
Below is ZrIn2F6 after structural relaxation, with properties calculated at the PBE-GGA level.

```
ZrIn2F6
1.0
0.000 4.051 4.051
4.051 0.000 4.051
4.051 4.051 0.000
Zr In F
1 2 6
direct
0.000 0.000 0.000
0.250 0.250 0.250
0.750 0.750 0.750
0.250 0.250 0.750
0.250 0.750 0.250
0.250 0.750 0.750
0.750 0.250 0.250
0.750 0.250 0.750
0.750 0.750 0.250
```

* size of the total moment: 0.0 μB/cell
* total energy: -5.41 eV per atom

***

(2)
Below is IrF8 after structural relaxation, with properties calculated at the PBE-GGA level.

```
IrF8
1.0
3.261 1.882 2.177
-3.261 1.882 2.177
0.000 -3.765 2.177
Ir F
1 8
direct
0.000 0.000 0.000
0.143 0.350 0.794
0.206 0.857 0.650
0.296 0.296 0.296
0.350 0.794 0.143
0.650 0.206 0.857
0.704 0.704 0.704
0.794 0.143 0.350
0.857 0.650 0.206
```

* size of the total moment: 0.2 μB/cell
* ΔE to the lowest computed polymorph: 0.1694 eV per atom